Here is NbV2HgP after structural relaxation from the Alexandria database. Energies are from GGA-PBE.

Cell: 4.3710 4.3710 4.7718 Å, 90.00 90.00 90.00°
Positions (direct):
Nb: 0.0000 0.0000 0.0000
V: 0.0000 0.5000 0.5000
V: 0.5000 0.0000 0.5000
Hg: 0.5000 0.5000 0.0000
P: 0.5000 0.5000 0.5000

energy relative to the elements = 3.36 eV/f.u.

***

Here is La2Pm3Al after structural relaxation from the Alexandria database. Energies are from GGA-PBE.

Cell: 8.1520 8.1520 4.9177 Å, 90.00 90.00 144.64°
Positions (direct):
La: 0.1615 0.8385 0.0000
La: 0.8385 0.1615 0.0000
Pm: 0.0000 0.0000 0.5000
Pm: 0.3444 0.6556 0.5000
Pm: 0.6556 0.3444 0.5000
Al: 0.5000 0.5000 0.0000

energy relative to the elements = -0.44 eV/f.u.

***

Here is TlOsRu2 after structural relaxation from the Alexandria database. Energies are from GGA-PBE.

Cell: 4.8478 4.8478 4.8478 Å, 131.00 131.00 71.81°
Positions (direct):
Tl: 0.0000 0.0000 0.0000
Os: 0.5000 0.5000 0.0000
Ru: 0.2500 0.7500 0.5000
Ru: 0.7500 0.2500 0.5000

energy relative to the elements = 2.78 eV/f.u.
offset from the most stable computed form = 285 meV/atom

***

Here is Pr4SiGe3 after structural relaxation from the Alexandria database. Energies are from GGA-PBE.

Cell: 4.0681 4.5231 11.1608 Å, 90.00 90.00 90.00°
Positions (direct):
Pr: 0.0000 0.0000 0.0000
Pr: 0.0000 0.5000 0.4966
Pr: 0.5000 0.0000 0.7202
Pr: 0.5000 0.5000 0.2209
Si: 0.0000 0.0000 0.2831
Ge: 0.0000 0.5000 0.7793
Ge: 0.5000 0.0000 0.4347
Ge: 0.5000 0.5000 0.9386

energy relative to the elements, uncorrected = -0.81 eV/atom

***

Here is SmYAg after structural relaxation from the Alexandria database. Energies are from GGA-PBE.

Cell: 6.8191 6.8191 8.5220 Å, 124.95 124.95 32.57°
Positions (direct):
Sm: 0.1013 0.1013 0.3770
Sm: 0.8988 0.8988 0.6230
Y: 0.3493 0.3493 0.9415
Y: 0.6507 0.6507 0.0585
Ag: 0.3706 0.3706 0.3176
Ag: 0.6294 0.6294 0.6824

energy relative to the elements = -0.51 eV/f.u.
offset from the most stable computed form = 19 meV/atom

***

Here is Ta3NbF after structural relaxation from the Alexandria database. Energies are from GGA-PBE.

Cell: 4.3708 4.3708 4.3708 Å, 90.00 90.00 90.00°
Positions (direct):
Ta: 0.0000 0.0000 0.5000
Ta: 0.0000 0.5000 0.0000
Ta: 0.5000 0.0000 0.0000
Nb: 0.5000 0.5000 0.5000
F: 0.0000 0.0000 0.0000

offset from the most stable computed form = 0 meV/atom
energy relative to the elements, uncorrected = 0.15 eV/atom

***

| no. | M_tot (μB per atom) |
| --- | --- |
| 1 | 0.00 |
| 2 | 0.00 |
| 3 | 0.25 |
| 4 | 0.00 |
| 5 | 0.00 |
| 6 | 0.00 |